Density functional theory data (PBE) for a relaxed Tl3Bi2F9 crystal.

Properties
space-group type: R-3c, No. 167
volume: 20.2 A^3/atom
formation energy without anion corrections: -29.53 eV per formula unit
total energy: -4.37 eV per atom
magnetization: 0.0 Bohr magnetons per cell

Cell: 8.2666 8.2666 8.2666 Å, 90.05 90.05 90.05°
Element x y z (fractional)
Tl 0.0692 0.4308 0.7500
Tl 0.5692 0.2500 0.9308
Tl 0.4308 0.7500 0.0692
Tl 0.7500 0.0692 0.4308
Tl 0.2500 0.9308 0.5692
Tl 0.9308 0.5692 0.2500
F 0.5828 0.4443 0.2178
F 0.8824 0.7500 0.6176
F 0.0557 0.9172 0.2822
F 0.4443 0.2178 0.5828
F 0.7822 0.4172 0.5557
F 0.5557 0.7822 0.4172
F 0.9443 0.0828 0.7178
F 0.1176 0.2500 0.3824
F 0.9172 0.2822 0.0557
F 0.2500 0.3824 0.1176
F 0.6176 0.8824 0.7500
F 0.0828 0.7178 0.9443
F 0.2178 0.5828 0.4443
F 0.2822 0.0557 0.9172
F 0.7500 0.6176 0.8824
F 0.3824 0.1176 0.2500
F 0.7178 0.9443 0.0828
F 0.4172 0.5557 0.7822
Bi 0.8717 0.8717 0.8717
Bi 0.1283 0.1283 0.1283
Bi 0.6283 0.6283 0.6283
Bi 0.3717 0.3717 0.3717

***

Density functional theory data (PBE) for a relaxed Cs2GeOsCl6 crystal.

Properties
space-group type: I4/mmm, No. 139
volume: 27.1 A^3/atom
formation energy without anion corrections: -9.42 eV per formula unit
total energy: -3.81 eV per atom
magnetization: 0.0 Bohr magnetons per cell

Cell: 7.2636 7.2636 7.2610 Å, 59.99 59.99 90.00°
Element x y z (fractional)
Ge 0.5000 0.5000 0.0000
Cl 0.2374 0.2374 0.0000
Cl 0.7626 0.2374 0.0000
Cl 0.7626 0.7626 0.0000
Cl 0.2374 0.2374 0.5251
Cl 0.7626 0.7626 0.4749
Cl 0.2374 0.7626 0.0000
Cs 0.7500 0.2500 0.5000
Cs 0.2500 0.7500 0.5000
Os 0.0000 0.0000 0.0000

***

Density functional theory data (PBE) for a relaxed MgNbAl3 crystal.

Properties
space-group type: Pm-3m, No. 221
volume: 24.9 A^3/atom
energy relative to the elements: 670.8 meV per atom
relative energy among the computed polymorphs: 0 meV per atom
total energy: -3.91 eV per atom
magnetization: 0.0 Bohr magnetons per cell

Cell: 4.9963 4.9963 4.9963 Å, 90.00 90.00 90.00°
Element x y z (fractional)
Nb 0.0000 0.0000 0.0000
Al 0.0000 0.0000 0.5000
Al 0.0000 0.5000 0.0000
Al 0.5000 0.0000 0.0000
Mg 0.5000 0.5000 0.5000